Entry from Alexandria: a relaxed structure of YRuSe3 (PBE).

Properties
Size of the total moment, μB/f.u.: 1.3
Raw formation energy, kcal/mol of atoms: -8.1

Cell: 4.9015 4.9015 4.9015 Å, 90.00 90.00 90.00°
Site moments in Bohr magnetons follow the coordinates.
Atoms (fractional coordinates):
1 Se 0.0000 0.5000 0.0000  0.05
2 Y 0.5000 0.5000 0.5000  0.03
3 Se 0.5000 0.0000 0.0000  0.17
4 Se 0.0000 0.0000 0.5000  0.02
5 Ru 0.0000 0.0000 0.0000  0.86